Entry one
RbFePd: optimized geometry, PBE.

Values from the calculation:
* total magnetic moment: 3.25 μB/f.u.

Cell and atoms, written as CIF:
```
data_RbFePd
_space_group_name_H-M_alt 'C 1 m 1'
_space_group_IT_number 8
_cell_length_a 12.740
_cell_length_b 3.973
_cell_length_c 3.068
_cell_angle_alpha 90.00
_cell_angle_beta 103.92
_cell_angle_gamma 90.00
loop_
_space_group_symop_operation_xyz
'x,y,z'
'x,-y,z'
'x+1/2,y+1/2,z'
'x+1/2,-y+1/2,z'
loop_
_atom_site_label
_atom_site_type_symbol
_atom_site_fract_x
_atom_site_fract_y
_atom_site_fract_z
_atom_site_occupancy
Rb1 Rb 0.000 0.000 0.000 1
Fe1 Fe 0.267 0.000 0.262 1
Pd1 Pd 0.228 0.500 0.722 1
```



Entry two
RbFePd: optimized geometry, PBE.

Values from the calculation:
* total magnetic moment: 3.34 μB/f.u.

Cell and atoms, written as CIF:
```
data_RbFePd
_space_group_name_H-M_alt 'P 1'
_space_group_IT_number 1
_cell_length_a 3.578
_cell_length_b 3.582
_cell_length_c 6.683
_cell_angle_alpha 105.30
_cell_angle_beta 105.52
_cell_angle_gamma 90.01
loop_
_space_group_symop_operation_xyz
'x,y,z'
loop_
_atom_site_label
_atom_site_type_symbol
_atom_site_fract_x
_atom_site_fract_y
_atom_site_fract_z
_atom_site_occupancy
Rb1 Rb 0.000 0.000 0.000 1
Fe1 Fe 0.257 0.748 0.500 1
Pd1 Pd 0.757 0.249 0.500 1
```



Relative to the most stable one, in eV/atom, the structures come out at entry one 0.000; entry two 0.028.



Entry one
RbFe3Pd: optimized geometry, PBE.

Values from the calculation:
* total magnetic moment: 7.70 μB/f.u.

Cell and atoms, written as CIF:
```
data_RbFe3Pd
_space_group_name_H-M_alt 'P m -3 m'
_space_group_IT_number 221
_space_group_name_Hall '-P 4 2 3'
_cell_length_a 4.562
_cell_length_b 4.562
_cell_length_c 4.562
_cell_angle_alpha 90.00
_cell_angle_beta 90.00
_cell_angle_gamma 90.00
loop_
_atom_site_label
_atom_site_type_symbol
_atom_site_fract_x
_atom_site_fract_y
_atom_site_fract_z
_atom_site_occupancy
Rb1 Rb 0.000 0.000 0.000 1
Fe1 Fe 0.000 0.000 0.500 1
Pd1 Pd 0.500 0.500 0.500 1
```



Entry two
RbFe3Pd: optimized geometry, PBE.

Values from the calculation:
* total magnetic moment: 10.12 μB/f.u.

Cell and atoms, written as CIF:
```
data_RbFe3Pd
_space_group_name_H-M_alt 'P m -3 m'
_space_group_IT_number 221
_space_group_name_Hall '-P 4 2 3'
_cell_length_a 4.893
_cell_length_b 4.893
_cell_length_c 4.893
_cell_angle_alpha 90.00
_cell_angle_beta 90.00
_cell_angle_gamma 90.00
loop_
_atom_site_label
_atom_site_type_symbol
_atom_site_fract_x
_atom_site_fract_y
_atom_site_fract_z
_atom_site_occupancy
Rb1 Rb 0.000 0.000 0.000 1
Fe1 Fe 0.000 0.500 0.500 1
Pd1 Pd 0.500 0.500 0.500 1
```



Relative to the most stable one, in eV/atom, the structures come out at entry one 1.403; entry two 0.000.



Entry one
RbFePdRu2: optimized geometry, PBE.

Values from the calculation:
* total magnetic moment: 8.07 μB/f.u.

Cell and atoms, written as CIF:
```
data_RbFePdRu2
_space_group_name_H-M_alt 'P 4/m m m'
_space_group_IT_number 123
_space_group_name_Hall '-P 4 2'
_cell_length_a 4.905
_cell_length_b 4.905
_cell_length_c 5.576
_cell_angle_alpha 90.00
_cell_angle_beta 90.00
_cell_angle_gamma 90.00
loop_
_atom_site_label
_atom_site_type_symbol
_atom_site_fract_x
_atom_site_fract_y
_atom_site_fract_z
_atom_site_occupancy
Rb1 Rb 0.000 0.000 0.000 1
Fe1 Fe 0.500 0.500 0.000 1
Pd1 Pd 0.000 0.000 0.500 1
Ru1 Ru 0.000 0.500 0.500 1
```



Entry two
RbFePdRu2: optimized geometry, PBE.

Values from the calculation:
* total magnetic moment: 7.63 μB/f.u.

Cell and atoms, written as CIF:
```
data_RbFePdRu2
_space_group_name_H-M_alt 'P 4/m m m'
_space_group_IT_number 123
_space_group_name_Hall '-P 4 2'
_cell_length_a 4.984
_cell_length_b 4.984
_cell_length_c 4.826
_cell_angle_alpha 90.00
_cell_angle_beta 90.00
_cell_angle_gamma 90.00
loop_
_atom_site_label
_atom_site_type_symbol
_atom_site_fract_x
_atom_site_fract_y
_atom_site_fract_z
_atom_site_occupancy
Rb1 Rb 0.000 0.000 0.000 1
Fe1 Fe 0.500 0.500 0.000 1
Pd1 Pd 0.500 0.500 0.500 1
Ru1 Ru 0.000 0.500 0.500 1
```



Relative to the most stable one, in eV/atom, the structures come out at entry one 0.500; entry two 0.000.



Entry one
FeRePd2: optimized geometry, PBE.

Values from the calculation:
* total magnetic moment: 0.00 μB/f.u.

Cell and atoms, written as CIF:
```
data_FeRePd2
_space_group_name_H-M_alt 'F m -3 m'
_space_group_IT_number 225
_space_group_name_Hall '-F 4 2 3'
_cell_length_a 6.108
_cell_length_b 6.108
_cell_length_c 6.108
_cell_angle_alpha 90.00
_cell_angle_beta 90.00
_cell_angle_gamma 90.00
loop_
_atom_site_label
_atom_site_type_symbol
_atom_site_fract_x
_atom_site_fract_y
_atom_site_fract_z
_atom_site_occupancy
Fe1 Fe 0.000 0.000 0.000 1
Re1 Re 0.000 0.000 0.500 1
Pd1 Pd 0.250 0.250 0.250 1
```



Entry two
FeRePd2: optimized geometry, PBE.

Values from the calculation:
* total magnetic moment: 0.00 μB/f.u.

Cell and atoms, written as CIF:
```
data_FeRePd2
_space_group_name_H-M_alt 'I -4 2 d'
_space_group_IT_number 122
_space_group_name_Hall 'I -4 2bw'
_cell_length_a 5.483
_cell_length_b 5.483
_cell_length_c 10.824
_cell_angle_alpha 90.00
_cell_angle_beta 90.00
_cell_angle_gamma 90.00
loop_
_atom_site_label
_atom_site_type_symbol
_atom_site_fract_x
_atom_site_fract_y
_atom_site_fract_z
_atom_site_occupancy
Fe1 Fe 0.000 0.000 0.000 1
Re1 Re 0.000 0.000 0.500 1
Pd1 Pd 0.232 0.250 0.125 1
```



Relative to the most stable one, in eV/atom, the structures come out at entry one 0.000; entry two 1.001.



Entry one
FePd4Rh: optimized geometry, PBE.

Values from the calculation:
* total magnetic moment: 5.35 μB/f.u.

Cell and atoms, written as CIF:
```
data_FePd4Rh
_space_group_name_H-M_alt 'F d d d'
_space_group_IT_number 70
_cell_length_a 5.381
_cell_length_b 9.151
_cell_length_c 14.936
_cell_angle_alpha 90.00
_cell_angle_beta 90.00
_cell_angle_gamma 90.00
loop_
_space_group_symop_operation_xyz
'x,y,z'
'-x,-y,-z'
'-x+1/4,-y+1/4,z'
'x+1/4,y+1/4,-z'
'x,-y+1/4,-z+1/4'
'-x,y+1/4,z+1/4'
'-x+1/4,y,-z+1/4'
'x+1/4,-y,z+1/4'
'x,y+1/2,z+1/2'
'-x,-y+1/2,-z+1/2'
'-x+1/4,-y+3/4,z+1/2'
'x+1/4,y+3/4,-z+1/2'
'x,-y+3/4,-z+3/4'
'-x,y+3/4,z+3/4'
'-x+1/4,y+1/2,-z+3/4'
'x+1/4,-y+1/2,z+3/4'
'x+1/2,y,z+1/2'
'-x+1/2,-y,-z+1/2'
'-x+3/4,-y+1/4,z+1/2'
'x+3/4,y+1/4,-z+1/2'
'x+1/2,-y+1/4,-z+3/4'
'-x+1/2,y+1/4,z+3/4'
'-x+3/4,y,-z+3/4'
'x+3/4,-y,z+3/4'
'x+1/2,y+1/2,z'
'-x+1/2,-y+1/2,-z'
'-x+3/4,-y+3/4,z'
'x+3/4,y+3/4,-z'
'x+1/2,-y+3/4,-z+1/4'
'-x+1/2,y+3/4,z+1/4'
'-x+3/4,y+1/2,-z+1/4'
'x+3/4,-y+1/2,z+1/4'
loop_
_atom_site_label
_atom_site_type_symbol
_atom_site_fract_x
_atom_site_fract_y
_atom_site_fract_z
_atom_site_occupancy
Fe1 Fe 0.125 0.125 0.125 1
Pd1 Pd 0.124 0.372 0.033 1
Rh1 Rh 0.125 0.125 0.625 1
```



Entry two
FePd4Rh: optimized geometry, PBE.

Values from the calculation:
* total magnetic moment: 5.19 μB/f.u.

Cell and atoms, written as CIF:
```
data_FePd4Rh
_space_group_name_H-M_alt 'P -4 2 c'
_space_group_IT_number 112
_cell_length_a 6.037
_cell_length_b 6.037
_cell_length_c 5.327
_cell_angle_alpha 90.00
_cell_angle_beta 90.00
_cell_angle_gamma 90.00
loop_
_space_group_symop_operation_xyz
'x,y,z'
'y,-x,-z'
'-x,-y,z'
'-y,x,-z'
'x,-y,-z+1/2'
'y,x,z+1/2'
'-x,y,-z+1/2'
'-y,-x,z+1/2'
loop_
_atom_site_label
_atom_site_type_symbol
_atom_site_fract_x
_atom_site_fract_y
_atom_site_fract_z
_atom_site_occupancy
Fe1 Fe 0.000 0.500 0.250 1
Pd1 Pd 0.175 0.238 0.891 1
Rh1 Rh 0.500 0.500 0.000 1
```



Relative to the most stable one, in eV/atom, the structures come out at entry one 0.000; entry two 0.219.



Entry one
FePdRh: optimized geometry, PBE.

Values from the calculation:
* total magnetic moment: 3.57 μB/f.u.

Cell and atoms, written as CIF:
```
data_FePdRh
_space_group_name_H-M_alt 'C 1 2/m 1'
_space_group_IT_number 12
_cell_length_a 5.206
_cell_length_b 7.181
_cell_length_c 5.287
_cell_angle_alpha 90.00
_cell_angle_beta 117.39
_cell_angle_gamma 90.00
loop_
_space_group_symop_operation_xyz
'x,y,z'
'-x,-y,-z'
'-x,y,-z'
'x,-y,z'
'x+1/2,y+1/2,z'
'-x+1/2,-y+1/2,-z'
'-x+1/2,y+1/2,-z'
'x+1/2,-y+1/2,z'
loop_
_atom_site_label
_atom_site_type_symbol
_atom_site_fract_x
_atom_site_fract_y
_atom_site_fract_z
_atom_site_occupancy
Fe1 Fe 0.250 0.000 0.238 1
Pd1 Pd 0.000 0.190 0.500 1
Rh1 Rh 0.000 0.310 0.000 1
```



Entry two
FePdRh: optimized geometry, PBE.

Values from the calculation:
* total magnetic moment: 4.01 μB/f.u.

Cell and atoms, written as CIF:
```
data_FePdRh
_space_group_name_H-M_alt 'P -6 m 2'
_space_group_IT_number 187
_space_group_name_Hall 'P -6 2'
_cell_length_a 4.3857
_cell_length_b 4.3857
_cell_length_c 2.6346
_cell_angle_alpha 90.00
_cell_angle_beta 90.00
_cell_angle_gamma 120.00
loop_
_atom_site_label
_atom_site_type_symbol
_atom_site_fract_x
_atom_site_fract_y
_atom_site_fract_z
_atom_site_occupancy
Fe1 Fe 0.0000 0.0000 0.0000 1
Pd1 Pd 0.3333 0.6667 0.5000 1
Rh1 Rh 0.6667 0.3333 0.5000 1
```



Relative to the most stable one, in eV/atom, the structures come out at entry one 0.000; entry two 0.114.